Record 1
Entry from OQMD: crystalline AcPmTh at its relaxed geometry (PBE-GGA).

Cell lengths 5.599, 5.599, 5.599 Å; angles 60.00, 60.00, 60.00 degrees
Positions (direct):
Ac (0.250, 0.250, 0.250)
Pm (0.000, 0.000, 0.000)
Th (0.750, 0.750, 0.750)

Output
**Energy relative to the elements**: 0.76 eV per atom


Record 2
Entry from OQMD: crystalline NaLaAlAu at its relaxed geometry (PBE-GGA).

Cell lengths 5.035, 5.035, 5.035 Å; angles 60.00, 60.00, 60.00 degrees
Positions (direct):
Al (0.000, 0.000, 0.000)
Au (0.750, 0.750, 0.750)
La (0.500, 0.500, 0.500)
Na (0.250, 0.250, 0.250)

Output
**DFT total energy**: -3.68 eV/atom


Record 3
Entry from OQMD: crystalline Ta4CuAuC2 at its relaxed geometry (PBE-GGA).

Cell lengths 3.134, 3.134, 13.606 Å; angles 90.00, 90.00, 120.00 degrees
Positions (direct):
Au (0.667, 0.333, 0.000)
C (0.333, 0.667, 0.258)
C (0.333, 0.667, 0.742)
Cu (0.000, 0.000, 0.500)
Ta (0.000, 0.000, 0.168)
Ta (0.667, 0.333, 0.347)
Ta (0.667, 0.333, 0.653)
Ta (0.000, 0.000, 0.832)

Output
**DFT total energy**: -9.45 eV/atom


Record 4
Entry from OQMD: crystalline InBAu at its relaxed geometry (PBE-GGA).

Cell lengths 4.300, 4.300, 4.300 Å; angles 60.00, 60.00, 60.00 degrees
Positions (direct):
Au (0.000, 0.000, 0.000)
B (0.250, 0.250, 0.250)
In (0.750, 0.750, 0.750)

Output
**DFT total energy**: -3.36 eV/atom


Record 5
Entry from OQMD: crystalline LiAg2Sn at its relaxed geometry (PBE-GGA).

Cell lengths 4.284, 4.284, 4.068 Å; angles 90.00, 90.00, 90.00 degrees
Positions (direct):
Ag (0.500, 0.000, 0.500)
Ag (0.000, 0.500, 0.500)
Li (0.000, 0.000, 0.000)
Sn (0.500, 0.500, 0.000)

Output
**DFT total energy**: -3.08 eV/atom


Record 6
Entry from OQMD: crystalline LaHoBC2 at its relaxed geometry (PBE-GGA).

Cell lengths 3.780, 3.780, 6.076 Å; angles 107.48, 107.48, 89.99 degrees
Positions (direct):
B (0.005, 0.005, 0.008)
C (0.140, 0.140, 0.277)
C (0.866, 0.866, 0.737)
Ho (0.346, 0.346, 0.698)
La (0.643, 0.643, 0.279)

Output
**DFT total energy**: -7.26 eV/atom


Which formula does entry 2 have? NaLaAlAu